No. 1
{
  "formula": "TmCo5B2",
  "functional": "GGA-PBE",
  "state": "optimized geometry",
  "cell": [[-3.3582, 0.2223, 0.4957], [-2.5080, -2.1157, -4.3691], [-1.8952, -5.0097, 1.0800]],
  "species": ["Tm", "Co", "Co", "Co", "Co", "Co", "B", "B"],
  "frac_coords": [[0.0000, 0.0000, 0.0000], [0.0000, 0.5000, 0.5000], [0.6571, 0.5325, 0.1533], [0.3429, 0.4675, 0.8467], [0.3429, 0.8467, 0.4675], [0.6571, 0.1533, 0.5325], [0.7600, 0.7400, 0.7400], [0.2400, 0.2600, 0.2600]],
  "spacegroup": "Immm (71)",
  "vol_a3_per_atom": 10.98,
  "crystal_system": "orthorhombic",
  "total_energy_ev_per_atom": -6.966,
  "formation_enthalpy_0k_ev_per_atom": -0.30,
  "m_tot_mub_per_atom": 0.466
}

=====

No. 2
{
  "formula": "ZrTiBi2",
  "functional": "GGA-PBE",
  "state": "optimized geometry",
  "cell": [[4.1614, 0.0000, 0.0000], [2.0807, 3.6039, 0.0000], [2.0807, 1.2013, 6.8443]],
  "species": ["Bi", "Bi", "Zr", "Ti"],
  "frac_coords": [[0.2549, 0.2549, 0.2352], [0.7451, 0.7451, 0.7648], [0.5000, 0.5000, 0.5000], [0.0000, 0.0000, 0.0000]],
  "spacegroup": "R-3m (166)",
  "vol_a3_per_atom": 25.66,
  "crystal_system": "trigonal",
  "relative_energy_kj_per_mol_fu": 12.0,
  "total_energy_ev_per_atom": -6.101,
  "formation_enthalpy_0k_ev_per_atom": -0.05,
  "m_tot_mub_per_atom": 0.156
}

=====

No. 3
{
  "formula": "CoCuMo",
  "functional": "GGA-PBE",
  "state": "optimized geometry",
  "cell": [[-1.9906, -3.4028, -0.2460], [-1.1716, -1.8451, 3.2902], [-3.8348, -0.1172, 0.9398]],
  "species": ["Co", "Cu", "Mo"],
  "frac_coords": [[0.7500, 0.7500, 0.7500], [0.0000, 0.0000, 0.0000], [0.5000, 0.5000, 0.5000]],
  "spacegroup": "F-43m (216)",
  "vol_a3_per_atom": 14.53,
  "crystal_system": "cubic",
  "relative_energy_kj_per_mol_fu": 113.5,
  "total_energy_ev_per_atom": -6.815,
  "formation_enthalpy_0k_ev_per_atom": 0.53,
  "m_tot_mub_per_atom": 0.380
}

=====

Question: Number 2 is which compound?
Answer: ZrTiBi2